CaSbWO6 GGA+U relaxed; density = 5.8 g/cm³; E = -6.88 eV per atom; space group = P-31c (163)
1.0
5.372 0.000 0.000
-2.686 4.652 0.000
0.000 0.000 10.059
Ca Sb W O
2 2 2 12
direct
0.000 0.000 0.000 Ca
0.000 0.000 0.500 Ca
0.333 0.667 0.250 Sb
0.667 0.333 0.750 Sb
0.333 0.667 0.750 W
0.667 0.333 0.250 W
0.001 0.372 0.141 O
0.001 0.628 0.359 O
0.372 0.001 0.641 O
0.372 0.372 0.359 O
0.372 0.372 0.859 O
0.372 0.999 0.141 O
0.628 0.001 0.859 O
0.628 0.628 0.141 O
0.628 0.628 0.641 O
0.628 0.999 0.359 O
0.999 0.372 0.641 O
0.999 0.628 0.859 O